Record 1
4
Lattice="4.5822 -1.4050 0.0000 4.5822 1.4050 0.0000 -1.0957 0.0000 4.7178" Properties=species:S:1:pos:R:3 comment="FeHgRu2 (PBE, relaxed)" final_energy_ev_per_cell=-25.65 crystal_system=monoclinic delta_e_f_ev_per_atom=0.4159 pbc="T T T"
Fe 0.0000 0.0000 0.0000
Hg 4.0343 0.0000 2.3589
Ru 1.6062 0.0000 3.7070
Ru 6.4624 0.0000 1.0108

Record 2
5
Lattice="4.5275 0.0000 0.0000 0.0000 4.5275 0.0000 0.0000 0.0000 4.5275" Properties=species:S:1:pos:R:3 comment="ZrCu3Ru (PBE, relaxed)" final_energy_ev_per_cell=-25.47 crystal_system=cubic delta_e_f_ev_per_atom=0.9275 polymorph_energy_mev_per_atom=0.0 pbc="T T T"
Zr 0.0000 0.0000 0.0000
Cu 0.0000 2.2638 2.2638
Cu 2.2638 0.0000 2.2638
Cu 2.2638 2.2638 0.0000
Ru 2.2638 2.2638 2.2638

Record 3
5
Lattice="4.9654 0.0000 0.0000 0.0000 4.9654 0.0000 0.0000 0.0000 4.4575" Properties=species:S:1:pos:R:3 comment="LaCr2FeAs (PBE, relaxed)" final_energy_ev_per_cell=-28.50 crystal_system=tetragonal delta_e_f_ev_per_atom=1.7575 pbc="T T T"
La 0.0000 0.0000 0.0000
Cr 0.0000 2.4827 0.0000
Cr 2.4827 0.0000 0.0000
Fe 0.0000 0.0000 2.2287
As 2.4827 2.4827 2.2287

Record 4
6
Lattice="0.0000 4.4877 4.4877 4.4877 0.0000 4.4877 4.4877 4.4877 0.0000" Properties=species:S:1:pos:R:3 comment="YZrPb4 (PBE, relaxed)" final_energy_ev_per_cell=-28.56 crystal_system=cubic delta_e_f_ev_per_atom=0.2147 pbc="T T T"
Y 0.0000 0.0000 0.0000
Zr 6.7316 6.7316 6.7316
Pb 3.3677 3.3677 3.3677
Pb 5.6078 5.6078 3.3677
Pb 5.6078 3.3677 5.6078
Pb 3.3677 5.6078 5.6078

Record 5
4
Lattice="3.2867 0.0000 0.0000 0.0000 3.2867 0.0000 0.0000 0.0000 9.1303" Properties=species:S:1:pos:R:3 comment="CsMgTcSe (PBE, relaxed)" final_energy_ev_per_cell=-16.11 crystal_system=tetragonal e_form_raw_ev_per_fu=0.18 polymorph_energy_mev_per_atom=0.0 pbc="T T T"
Cs 0.0000 0.0000 0.0000
Mg 1.6434 1.6434 5.7856
Tc 0.0000 0.0000 4.0276
Se 1.6434 1.6434 2.8656

Record 6
20
Lattice="10.5844 0.0000 0.0000 0.0000 12.1557 0.0000 0.0000 0.0000 4.9060" Properties=species:S:1:pos:R:3 comment="TbTh5In4 (PBE, relaxed)" final_energy_ev_per_cell=-106.41 crystal_system=orthorhombic delta_e_f_ev_per_atom=-0.0524 pbc="T T T"
Tb 2.6461 3.0389 1.2237
Tb 7.9383 9.1168 3.6823
Th 0.7151 1.0324 3.6776
Th 0.7151 5.0455 3.6776
Th 2.6461 9.1168 1.2298
Th 4.5771 1.0324 3.6776
Th 4.5771 5.0455 3.6776
Th 6.0074 7.1103 1.2284
Th 6.0074 11.1233 1.2284
Th 7.9383 3.0389 3.6761
Th 9.8693 7.1103 1.2284
Th 9.8693 11.1233 1.2284
In 0.5009 9.1168 3.6820
In 2.6461 0.0219 1.2246
In 2.6461 6.0560 1.2246
In 4.7913 9.1168 3.6820
In 5.7931 3.0389 1.2240
In 7.9383 6.0997 3.6814
In 7.9383 12.1338 3.6814
In 10.0835 3.0389 1.2240

Record 7
5
Lattice="5.3699 0.0000 0.0000 0.0000 5.3699 0.0000 0.0000 0.0000 4.0346" Properties=species:S:1:pos:R:3 comment="ScBBr2F (PBE, relaxed)" final_energy_ev_per_cell=-21.89 crystal_system=tetragonal e_form_raw_ev_per_fu=-3.66 pbc="T T T"
Sc 0.0000 0.0000 0.0000
B 2.6849 2.6849 2.0173
Br 0.0000 2.6849 0.0000
Br 2.6849 0.0000 0.0000
F 0.0000 0.0000 2.0173

Record 8
4
Lattice="0.0000 3.2724 3.2724 3.2724 0.0000 3.2724 3.2724 3.2724 0.0000" Properties=species:S:1:pos:R:3 comment="NiSb2Os (PBE, relaxed)" final_energy_ev_per_cell=-23.64 crystal_system=cubic e_form_raw_ev_per_fu=1.61 polymorph_energy_mev_per_atom=216.2 pbc="T T T"
Ni 0.0000 0.0000 0.0000
Sb 1.6362 1.6362 1.6362
Sb 4.9086 4.9086 4.9086
Os 3.2724 3.2724 3.2724